Below is LaBeNi2Rh after structural relaxation, with properties calculated at the PBE level.

Calculated values
E_form = -0.3710 eV/atom
V = 76.3 Å³ per cell
Spin magnetization = 0.000 μB/atom
Space-group type = P4/mmm

The structure in CIF format:
```
data_LaBeNi2Rh
_chemical_formula_sum 'La1 Be1 Ni2 Rh1'
_space_group_name_H-M_alt 'P 1'
_space_group_IT_number 1
_space_group_name_Hall 'P 1'
_cell_length_a 4.2001
_cell_length_b 4.2001
_cell_length_c 4.3226
_cell_angle_alpha 90.00
_cell_angle_beta 90.00
_cell_angle_gamma 90.00
loop_
_atom_site_label
_atom_site_type_symbol
_atom_site_fract_x
_atom_site_fract_y
_atom_site_fract_z
Ni1 Ni 0.0000 0.5000 0.0000
Ni2 Ni 0.5000 0.0000 0.0000
Rh1 Rh 0.0000 0.0000 0.5000
Be1 Be 0.0000 0.0000 0.0000
La1 La 0.5000 0.5000 0.5000
```